# PBE Th2TlN, optimized geometry
# ΔE_f (raw), kJ/mol of formula units: -308
# Total moment, μB per formula unit: 0.00
# Calculated density, g/cm3: 11.56
data_Th2TlN
_cell_length_a 3.7281
_cell_length_b 3.7281
_cell_length_c 24.4311
_cell_angle_alpha 90.00
_cell_angle_beta 90.00
_cell_angle_gamma 120.00
_space_group_name_H-M_alt 'R -3 m'
_space_group_IT_number 166
_space_group_name_Hall '-R 3 2"'
loop_
_atom_site_label
_atom_site_type_symbol
_atom_site_fract_x
_atom_site_fract_y
_atom_site_fract_z
_atom_site_occupancy
Th1 Th 0.0000 0.0000 0.2239 1
Tl1 Tl 0.0000 0.0000 0.0000 1
N1 N 0.0000 0.0000 0.5000 1

---

# PBE CePr10Y6, optimized geometry
# DFT formation energy, meV/atom: 152
# Total moment, μB per formula unit: 0.73
# Calculated density, g/cm3: 5.77
data_CePr10Y6
_cell_length_a 9.9492
_cell_length_b 9.9492
_cell_length_c 6.9957
_cell_angle_alpha 90.00
_cell_angle_beta 90.00
_cell_angle_gamma 120.00
_space_group_name_H-M_alt 'P -3 1 m'
_space_group_IT_number 162
_space_group_name_Hall '-P 3 2'
loop_
_atom_site_label
_atom_site_type_symbol
_atom_site_fract_x
_atom_site_fract_y
_atom_site_fract_z
_atom_site_occupancy
Ce1 Ce 0.0000 0.0000 0.0000 1
Pr1 Pr 0.0000 0.2747 0.3193 1
Pr2 Pr 0.3333 0.6667 0.0000 1
Pr3 Pr 0.3333 0.6667 0.5000 1
Y1 Y 0.0000 0.3670 0.8149 1

---

# PBE LaMgBe2H8, optimized geometry
# Total moment, μB per formula unit: 0.00
# Calculated density, g/cm3: 2.96
# Raw total energy, eV/atom: -3.65
data_LaMgBe2H8
_cell_length_a 4.3791
_cell_length_b 4.3791
_cell_length_c 19.2126
_cell_angle_alpha 90.00
_cell_angle_beta 90.00
_cell_angle_gamma 120.00
_space_group_name_H-M_alt 'R -3'
_space_group_IT_number 148
_space_group_name_Hall '-R 3'
loop_
_atom_site_label
_atom_site_type_symbol
_atom_site_fract_x
_atom_site_fract_y
_atom_site_fract_z
_atom_site_occupancy
La1 La 0.0000 0.0000 0.0000 1
Mg1 Mg 0.0000 0.0000 0.5000 1
Be1 Be 0.0000 0.0000 0.2450 1
H1 H 0.0000 0.0000 0.3210 1
H2 H 0.0043 0.6391 0.4403 1

---

# PBE HgHPdRh2, optimized geometry
# Total moment, μB per formula unit: 0.00
# Distance to the lowest polymorph of the same formula, meV/atom: 116.9
# Calculated density, g/cm3: 12.73
data_HgHPdRh2
_cell_length_a 3.915
_cell_length_b 3.915
_cell_length_c 4.371
_cell_angle_alpha 90.00
_cell_angle_beta 90.00
_cell_angle_gamma 90.00
_space_group_name_H-M_alt 'P 4/m m m'
_space_group_IT_number 123
_space_group_name_Hall '-P 4 2'
loop_
_atom_site_label
_atom_site_type_symbol
_atom_site_fract_x
_atom_site_fract_y
_atom_site_fract_z
_atom_site_occupancy
Hg1 Hg 0.000 0.000 0.000 1
H1 H 0.000 0.000 0.500 1
Pd1 Pd 0.500 0.500 0.000 1
Rh1 Rh 0.000 0.500 0.500 1

---

# PBE Ba2MgW, optimized geometry
# DFT formation energy, meV/atom: 973
# Total moment, μB per formula unit: 0.49
# Calculated density, g/cm3: 6.23
data_Ba2MgW
_cell_length_a 3.347
_cell_length_b 5.217
_cell_length_c 7.538
_cell_angle_alpha 90.00
_cell_angle_beta 101.96
_cell_angle_gamma 90.00
_space_group_name_H-M_alt 'P 1 m 1'
_space_group_IT_number 6
loop_
_space_group_symop_operation_xyz
'x,y,z'
'x,-y,z'
loop_
_atom_site_label
_atom_site_type_symbol
_atom_site_fract_x
_atom_site_fract_y
_atom_site_fract_z
_atom_site_occupancy
Ba1 Ba 0.000 0.000 0.000 1
Ba2 Ba 0.286 0.500 0.615 1
Mg1 Mg 0.606 0.500 0.217 1
W1 W 0.679 0.000 0.391 1

---

# PBE YTa2, optimized geometry
# DFT formation energy, meV/atom: 579
# Total moment, μB per formula unit: 0.00
# Distance to the lowest polymorph of the same formula, meV/atom: 332.9
# Calculated density, g/cm3: 11.80
data_YTa2
_cell_length_a 2.860
_cell_length_b 8.634
_cell_length_c 5.135
_cell_angle_alpha 90.00
_cell_angle_beta 90.00
_cell_angle_gamma 90.00
_space_group_name_H-M_alt 'P n n m'
_space_group_IT_number 58
loop_
_space_group_symop_operation_xyz
'x,y,z'
'-x,-y,-z'
'-x,-y,z'
'x,y,-z'
'x+1/2,-y+1/2,-z+1/2'
'-x+1/2,y+1/2,z+1/2'
'-x+1/2,y+1/2,-z+1/2'
'x+1/2,-y+1/2,z+1/2'
loop_
_atom_site_label
_atom_site_type_symbol
_atom_site_fract_x
_atom_site_fract_y
_atom_site_fract_z
_atom_site_occupancy
Y1 Y 0.000 0.000 0.000 1
Ta1 Ta 0.170 0.171 0.500 1